A plane-wave DFT calculation with PBE-GGA was carried out for a relaxed AcZnCdPd crystal.

The structure in CIF format:
```
data_AcZnCdPd
_cell_length_a 5.1125
_cell_length_b 5.1125
_cell_length_c 5.1125
_cell_angle_alpha 60.00
_cell_angle_beta 60.00
_cell_angle_gamma 60.00
_symmetry_space_group_name_H-M 'P 1'
_symmetry_Int_Tables_number 1
_symmetry_space_group_name_Hall 'P 1'
loop_
_atom_site_label
_atom_site_type_symbol
_atom_site_fract_x
_atom_site_fract_y
_atom_site_fract_z
_atom_site_occupancy
Zn1 Zn 0.5000 0.5000 0.5000 1
Cd1 Cd 0.2500 0.2500 0.2500 1
Pd1 Pd 0.0000 0.0000 0.0000 1
Ac1 Ac 0.7500 0.7500 0.7500 1
```

Energy of formation from the pure elements   -381 meV/atom
Total DFT energy (no corrections)   -13.0 eV per formula unit

---

A plane-wave DFT calculation with PBE-GGA was carried out for a relaxed AcZnCdPd3 crystal.

The structure in CIF format:
```
data_AcZnCdPd3
_cell_length_a 5.9513
_cell_length_b 6.9913
_cell_length_c 7.2887
_cell_angle_alpha 118.66
_cell_angle_beta 90.00
_cell_angle_gamma 90.00
_symmetry_space_group_name_H-M 'P 1'
_symmetry_Int_Tables_number 1
_symmetry_space_group_name_Hall 'P 1'
loop_
_atom_site_label
_atom_site_type_symbol
_atom_site_fract_x
_atom_site_fract_y
_atom_site_fract_z
_atom_site_occupancy
Pd1 Pd 0.0000 0.3066 0.0000 1
Pd2 Pd 0.5000 0.3066 0.0000 1
Pd3 Pd 0.7500 0.8268 0.6536 1
Pd4 Pd 0.2500 0.1732 0.3464 1
Pd5 Pd 0.0000 0.6934 0.0000 1
Pd6 Pd 0.5000 0.6934 0.0000 1
Cd1 Cd 0.2500 0.9534 0.9069 1
Cd2 Cd 0.7500 0.0466 0.0931 1
Ac1 Ac 0.7500 0.3029 0.6058 1
Ac2 Ac 0.2500 0.6971 0.3942 1
Zn1 Zn 0.2500 0.3702 0.7403 1
Zn2 Zn 0.7500 0.6298 0.2597 1
```

Energy of formation from the pure elements   -405 meV/atom
Total DFT energy (no corrections)   -24.3 eV per formula unit

---

A plane-wave DFT calculation with PBE-GGA was carried out for a relaxed Ac3Zn2CdPd6 crystal.

The structure in CIF format:
```
data_Ac3Zn2CdPd6
_cell_length_a 5.9161
_cell_length_b 5.9161
_cell_length_c 9.1285
_cell_angle_alpha 90.00
_cell_angle_beta 90.00
_cell_angle_gamma 120.00
_symmetry_space_group_name_H-M 'P 1'
_symmetry_Int_Tables_number 1
_symmetry_space_group_name_Hall 'P 1'
loop_
_atom_site_label
_atom_site_type_symbol
_atom_site_fract_x
_atom_site_fract_y
_atom_site_fract_z
_atom_site_occupancy
Pd1 Pd 0.1751 0.8249 0.2714 1
Pd2 Pd 0.8249 0.6497 0.7286 1
Pd3 Pd 0.6497 0.8249 0.2714 1
Pd4 Pd 0.3503 0.1751 0.7286 1
Pd5 Pd 0.8249 0.1751 0.7286 1
Pd6 Pd 0.1751 0.3503 0.2714 1
Ac1 Ac 0.0000 0.0000 0.0000 1
Ac2 Ac 0.6667 0.3333 0.3663 1
Ac3 Ac 0.3333 0.6667 0.6337 1
Zn1 Zn 0.3333 0.6667 0.0385 1
Zn2 Zn 0.6667 0.3333 0.9615 1
Cd1 Cd 0.0000 0.0000 0.5000 1
```

Energy of formation from the pure elements   -599 meV/atom
Total DFT energy (no corrections)   -54.1 eV per formula unit

---

A plane-wave DFT calculation with PBE-GGA was carried out for a relaxed Ac2ZnCd2Pd4 crystal.

The structure in CIF format:
```
data_Ac2ZnCd2Pd4
_cell_length_a 6.4698
_cell_length_b 6.4698
_cell_length_c 6.4698
_cell_angle_alpha 99.76
_cell_angle_beta 114.53
_cell_angle_gamma 114.53
_symmetry_space_group_name_H-M 'P 1'
_symmetry_Int_Tables_number 1
_symmetry_space_group_name_Hall 'P 1'
loop_
_atom_site_label
_atom_site_type_symbol
_atom_site_fract_x
_atom_site_fract_y
_atom_site_fract_z
_atom_site_occupancy
Zn1 Zn 0.0000 0.0000 0.0000 1
Ac1 Ac 0.5000 0.2500 0.7500 1
Ac2 Ac 0.5000 0.7500 0.2500 1
Pd1 Pd 0.5146 0.2573 0.2573 1
Pd2 Pd 0.0000 0.2573 0.7427 1
Pd3 Pd 0.4854 0.7427 0.7427 1
Pd4 Pd 0.0000 0.7427 0.2573 1
Cd1 Cd 0.0000 0.6801 0.6801 1
Cd2 Cd 0.0000 0.3199 0.3199 1
```

Energy of formation from the pure elements   -531 meV/atom
Total DFT energy (no corrections)   -36.9 eV per formula unit

---

A plane-wave DFT calculation with PBE-GGA was carried out for a relaxed Ac2ZnCdPd6 crystal.

The structure in CIF format:
```
data_Ac2ZnCdPd6
_cell_length_a 6.7562
_cell_length_b 6.9532
_cell_length_c 6.9543
_cell_angle_alpha 47.47
_cell_angle_beta 80.30
_cell_angle_gamma 99.59
_symmetry_space_group_name_H-M 'P 1'
_symmetry_Int_Tables_number 1
_symmetry_space_group_name_Hall 'P 1'
loop_
_atom_site_label
_atom_site_type_symbol
_atom_site_fract_x
_atom_site_fract_y
_atom_site_fract_z
_atom_site_occupancy
Zn1 Zn 0.5000 0.5000 0.0000 1
Pd1 Pd 0.9182 0.7474 0.8299 1
Pd2 Pd 0.7314 0.2428 0.0086 1
Pd3 Pd 0.0818 0.2526 0.1701 1
Pd4 Pd 0.2687 0.2610 0.4880 1
Pd5 Pd 0.7313 0.7390 0.5120 1
Pd6 Pd 0.2686 0.7572 0.9914 1
Cd1 Cd 0.0000 0.0000 0.0000 1
Ac1 Ac 0.7141 0.2468 0.5340 1
Ac2 Ac 0.2859 0.7532 0.4660 1
```

Energy of formation from the pure elements   -627 meV/atom
Total DFT energy (no corrections)   -47.8 eV per formula unit

---

A plane-wave DFT calculation with PBE-GGA was carried out for a relaxed AcPmCd3 crystal.

The structure in CIF format:
```
data_AcPmCd3
_cell_length_a 5.1106
_cell_length_b 3.7691
_cell_length_c 15.3161
_cell_angle_alpha 97.07
_cell_angle_beta 90.00
_cell_angle_gamma 90.00
_symmetry_space_group_name_H-M 'P 1'
_symmetry_Int_Tables_number 1
_symmetry_space_group_name_Hall 'P 1'
loop_
_atom_site_label
_atom_site_type_symbol
_atom_site_fract_x
_atom_site_fract_y
_atom_site_fract_z
_atom_site_occupancy
Pm1 Pm 0.7500 0.2131 0.4262 1
Pm2 Pm 0.2500 0.7869 0.5738 1
Cd1 Cd 0.7500 0.3217 0.6434 1
Cd2 Cd 0.7500 0.5243 0.0485 1
Cd3 Cd 0.2500 0.3761 0.7522 1
Cd4 Cd 0.2500 0.6783 0.3566 1
Cd5 Cd 0.2500 0.4757 0.9515 1
Cd6 Cd 0.7500 0.6239 0.2478 1
Ac1 Ac 0.2500 0.0756 0.1512 1
Ac2 Ac 0.7500 0.9244 0.8488 1
```

Energy of formation from the pure elements   -302 meV/atom
Total DFT energy (no corrections)   -13.1 eV per formula unit

---

A plane-wave DFT calculation with PBE-GGA was carried out for a relaxed AcPmCd crystal.

The structure in CIF format:
```
data_AcPmCd
_cell_length_a 3.7051
_cell_length_b 8.4055
_cell_length_c 8.4055
_cell_angle_alpha 98.33
_cell_angle_beta 90.00
_cell_angle_gamma 90.00
_symmetry_space_group_name_H-M 'P 1'
_symmetry_Int_Tables_number 1
_symmetry_space_group_name_Hall 'P 1'
loop_
_atom_site_label
_atom_site_type_symbol
_atom_site_fract_x
_atom_site_fract_y
_atom_site_fract_z
_atom_site_occupancy
Pm1 Pm 0.0000 0.0000 0.0000 1
Pm2 Pm 0.5000 0.5000 0.5000 1
Cd1 Cd 0.0000 0.2735 0.2735 1
Cd2 Cd 0.0000 0.7265 0.7265 1
Ac1 Ac 0.5000 0.7657 0.2343 1
Ac2 Ac 0.5000 0.2343 0.7657 1
```

Offset from the most stable computed form   671.3 meV per atom
Energy of formation from the pure elements   489 meV/atom
Total DFT energy (no corrections)   -8.3 eV per formula unit

---

A plane-wave DFT calculation with PBE-GGA was carried out for a relaxed AcPm3Cd crystal.

The structure in CIF format:
```
data_AcPm3Cd
_cell_length_a 5.6111
_cell_length_b 11.0518
_cell_length_c 11.1323
_cell_angle_alpha 90.00
_cell_angle_beta 90.00
_cell_angle_gamma 90.00
_symmetry_space_group_name_H-M 'P 1'
_symmetry_Int_Tables_number 1
_symmetry_space_group_name_Hall 'P 1'
loop_
_atom_site_label
_atom_site_type_symbol
_atom_site_fract_x
_atom_site_fract_y
_atom_site_fract_z
_atom_site_occupancy
Pm1 Pm 0.7500 0.6222 0.6725 1
Pm2 Pm 0.2500 0.3978 0.6691 1
Pm3 Pm 0.2500 0.5712 0.1097 1
Pm4 Pm 0.7500 0.1222 0.8275 1
Pm5 Pm 0.7500 0.6022 0.3309 1
Pm6 Pm 0.2500 0.0712 0.3903 1
Pm7 Pm 0.2500 0.8778 0.1725 1
Pm8 Pm 0.7500 0.1022 0.1691 1
Pm9 Pm 0.7500 0.4288 0.8903 1
Pm10 Pm 0.7500 0.9288 0.6097 1
Pm11 Pm 0.2500 0.8978 0.8309 1
Pm12 Pm 0.2500 0.3778 0.3275 1
Ac1 Ac 0.2500 0.2249 0.0018 1
Ac2 Ac 0.7500 0.2751 0.5018 1
Ac3 Ac 0.7500 0.7751 0.9982 1
Ac4 Ac 0.2500 0.7249 0.4982 1
Cd1 Cd 0.2500 0.1161 0.6655 1
Cd2 Cd 0.2500 0.6161 0.8345 1
Cd3 Cd 0.7500 0.8839 0.3345 1
Cd4 Cd 0.7500 0.3839 0.1655 1
```

Energy of formation from the pure elements   -25 meV/atom
Total DFT energy (no corrections)   -19.4 eV per formula unit

---

A plane-wave DFT calculation with PBE-GGA was carried out for a relaxed Ac14PmCd crystal.

The structure in CIF format:
```
data_Ac14PmCd
_cell_length_a 7.8281
_cell_length_b 7.8281
_cell_length_c 11.1424
_cell_angle_alpha 90.00
_cell_angle_beta 90.00
_cell_angle_gamma 90.04
_symmetry_space_group_name_H-M 'P 1'
_symmetry_Int_Tables_number 1
_symmetry_space_group_name_Hall 'P 1'
loop_
_atom_site_label
_atom_site_type_symbol
_atom_site_fract_x
_atom_site_fract_y
_atom_site_fract_z
_atom_site_occupancy
Pm1 Pm 0.3766 0.6234 0.0000 1
Cd1 Cd 0.8738 0.1262 0.0000 1
Ac1 Ac 0.1243 0.3741 0.7576 1
Ac2 Ac 0.8794 0.6299 0.5000 1
Ac3 Ac 0.6259 0.8757 0.7576 1
Ac4 Ac 0.1227 0.8773 0.7661 1
Ac5 Ac 0.3890 0.1324 0.0000 1
Ac6 Ac 0.8763 0.1237 0.5000 1
Ac7 Ac 0.1243 0.3741 0.2424 1
Ac8 Ac 0.3719 0.6281 0.5000 1
Ac9 Ac 0.6247 0.3753 0.7488 1
Ac10 Ac 0.8676 0.6110 0.0000 1
Ac11 Ac 0.6259 0.8757 0.2424 1
Ac12 Ac 0.1227 0.8773 0.2339 1
Ac13 Ac 0.6247 0.3753 0.2512 1
Ac14 Ac 0.3701 0.1206 0.5000 1
```

Energy of formation from the pure elements   -2 meV/atom
Total DFT energy (no corrections)   -63.2 eV per formula unit